# 1
Entry from Alexandria via LeMat-Bulk: ZrCdP2O8 after structural relaxation (PBE-GGA).

Properties
Energy relative to the elements, uncorrected ... -2.379 eV per atom
Raw total energy ... -0.5420 Ry per atom

Lattice parameters (Å, degrees): 5.026 5.026 7.228 93.51 93.51 65.61
Positions (direct):
O  0.216  0.683  0.786
Cd  0.000  0.000  0.500
P  0.659  0.659  0.237
O  0.683  0.216  0.786
O  0.784  0.317  0.214
O  0.749  0.749  0.427
O  0.230  0.230  0.924
O  0.317  0.784  0.214
P  0.341  0.341  0.763
O  0.770  0.770  0.076
Zr  0.000  0.000  0.000
O  0.251  0.251  0.573



# 2
Entry from Alexandria via LeMat-Bulk: Ni3IrC after structural relaxation (PBE-GGA).

Properties
Energy above the most stable polymorph in this dataset ... 10.79 eV per formula unit
Raw total energy ... -0.3365 Ry per atom
Energy relative to the elements ... 2.507 eV per atom

Lattice parameters (Å, degrees): 4.497 4.497 4.497 90.00 90.00 90.00
Site moments in Bohr magnetons follow the coordinates.
Positions (direct):
Ni  0.500  0.000  0.000  0.29
Ni  0.000  0.000  0.500  1.07
Ni  0.000  0.500  0.000  0.63
Ir  0.000  0.000  0.000  0.66
C  0.500  0.500  0.500  0.09



# 3
Entry from Alexandria via LeMat-Bulk: MnRuSeBr2 after structural relaxation (PBE-GGA).

Properties
Energy relative to the elements, uncorrected ... 0.414 eV per atom
Energy above the most stable polymorph in this dataset ... 0.00 eV per formula unit
Raw total energy ... -0.3411 Ry per atom

Lattice parameters (Å, degrees): 5.169 5.169 4.738 90.00 90.00 90.00
Site moments in Bohr magnetons follow the coordinates.
Positions (direct):
Br  0.500  0.000  0.000  0.04
Ru  0.000  0.000  0.000  -0.23
Mn  0.500  0.500  0.500  4.63
Se  0.000  0.000  0.500  -0.03
Br  0.000  0.500  0.000  0.04



# 4
Entry from Alexandria via LeMat-Bulk: Li3Pm4Te8 after structural relaxation (PBE-GGA).

Properties
Energy relative to the elements, uncorrected ... -1.200 eV per atom
Raw total energy ... -0.3326 Ry per atom

Lattice parameters (Å, degrees): 8.831 8.798 8.798 90.81 119.61 119.61
Positions (direct):
Li  0.500  0.500  0.500
Pm  0.000  0.000  0.500
Pm  0.000  0.500  0.000
Te  0.005  0.260  0.260
Pm  0.000  0.000  0.000
Te  0.502  0.748  0.748
Te  0.500  0.747  0.253
Li  0.500  0.500  0.000
Te  0.000  0.251  0.749
Te  0.995  0.740  0.740
Te  0.500  0.253  0.747
Te  0.498  0.252  0.252
Te  0.000  0.749  0.251
Pm  0.500  0.000  0.000
Li  0.500  0.000  0.500